Compound: NaTaCd
Source: the Alexandria database
Functional: PBE
Structure: optimized geometry

The structure in CIF format:
```
data_NaTaCd
_space_group_name_H-M_alt 'P -1'
_space_group_IT_number 2
_space_group_name_Hall '-P 1'
_cell_length_a 2.910
_cell_length_b 5.560
_cell_length_c 8.943
_cell_angle_alpha 72.44
_cell_angle_beta 89.96
_cell_angle_gamma 74.98
loop_
_atom_site_label
_atom_site_fract_x
_atom_site_fract_y
_atom_site_fract_z
_atom_site_occupancy
Na1 0.151 0.185 0.125 1
Ta1 0.145 0.213 0.514 1
Cd1 0.448 0.606 0.240 1
```

Summary:
Polymorph energy (0 for the lowest one), eV per atom: 0.194
N(E_F), states/eV per atom: 0.51
Mass density, Mg/m³: 7.91
Final energy, eV/atom: -4.36
Magnetic moment, μB/cell: 0.00
Calculated formation energy, eV/atom: 0.33